# LiErTh2S5 | the Alexandria database | PBE | relaxed
# Energy relative to the elements, uncorrected = -1.82 eV per atom
data_LiErTh2S5
_chemical_formula_sum 'Li4 Er4 Th8 S20'
_cell_length_a 3.8932
_cell_length_b 16.3864
_cell_length_c 11.9275
_cell_angle_alpha 90.00
_cell_angle_beta 90.00
_cell_angle_gamma 90.00
_symmetry_space_group_name_H-M 'C m c 21'
_symmetry_Int_Tables_number 36
_symmetry_space_group_name_Hall 'C 2c -2'
loop_
_atom_site_label
_atom_site_type_symbol
_atom_site_fract_x
_atom_site_fract_y
_atom_site_fract_z
Li1 Li 0.0000 0.0125 0.0000
Er1 Er 0.0000 0.3039 0.5222
Th1 Th 0.0000 0.3709 0.8206
Th2 Th 0.0000 0.3898 0.2026
S1 S 0.0000 0.0011 0.3051
S2 S 0.0000 0.1387 0.5198
S3 S 0.0000 0.1910 0.8643
S4 S 0.0000 0.2105 0.1803
S5 S 0.0000 0.4555 0.5919